[1]
Material: TbCdHg5
Method: DFT, PBE
State: relaxed

* total magnetic moment: 0.0000 μB per atom
* DFT formation energy: -0.20 eV/atom
* total energy: -1.20 eV/atom
* space-group type: No. 123

POSCAR file:
```
TbCdHg5
1.0
-0.947 3.917 -2.795
2.188 -2.186 -3.805
-6.450 -2.983 -1.995
Tb Hg Cd
1 5 1
Direct
0.000 0.000 0.000
0.000 0.500 0.723
0.500 0.000 0.277
0.000 0.500 0.277
0.500 0.500 0.000
0.500 0.000 0.723
0.000 0.000 0.500
```

=====

[2]
Material: TbCd2Hg3
Method: DFT, PBE
State: relaxed

* total magnetic moment: 0.0000 μB per atom
* DFT formation energy: -0.18 eV/atom
* total energy: -1.41 eV/atom
* space-group type: No. 12
* energy above the most stable polymorph in this dataset: 48 meV/atom

POSCAR file:
```
TbCd2Hg3
1.0
-3.196 -0.471 -3.483
6.937 0.403 -6.420
-0.672 -6.455 4.729
Cd Tb Hg
4 2 6
Direct
0.785 0.447 0.571
0.215 0.553 0.429
0.941 0.822 0.883
0.059 0.178 0.117
0.637 0.003 0.274
0.363 0.997 0.726
0.265 0.234 0.530
0.735 0.766 0.470
0.450 0.616 0.899
0.886 0.233 0.771
0.114 0.767 0.229
0.550 0.384 0.101
```

=====

[3]
Material: TbCdHg2
Method: DFT, PBE
State: relaxed

* total magnetic moment: 0.0546 μB per atom
* DFT formation energy: -0.28 eV/atom
* total energy: -1.81 eV/atom
* space-group type: No. 123

POSCAR file:
```
TbCdHg2
1.0
-0.926 1.135 3.371
-3.550 -0.514 -0.802
0.440 -6.789 2.407
Tb Hg Cd
1 2 1
Direct
0.500 0.500 0.000
0.000 0.000 0.744
0.000 0.000 0.256
0.500 0.500 0.500
```

=====

[4]
Material: Tb3Cd2Hg2
Method: DFT, PBE
State: relaxed

* total magnetic moment: 0.0000 μB per atom
* DFT formation energy: -0.27 eV/atom
* total energy: -2.60 eV/atom
* space-group type: No. 2

POSCAR file:
```
Tb3Cd2Hg2
1.0
4.964 -0.143 -1.640
-2.730 4.519 0.275
-0.631 0.217 9.080
Tb Hg Cd
3 2 2
Direct
0.426 0.274 0.708
0.000 0.000 0.000
0.574 0.726 0.292
0.305 0.074 0.361
0.695 0.926 0.639
0.226 0.639 0.869
0.774 0.361 0.131
```

=====

[5]
Material: TbCdHg2
Method: DFT, PBE
State: relaxed

* total magnetic moment: 0.0000 μB per atom
* DFT formation energy: -0.31 eV/atom
* total energy: -1.85 eV/atom
* space-group type: No. 123

POSCAR file:
```
TbCdHg2
1.0
-2.032 2.409 -3.013
-2.494 -3.788 -1.346
-3.361 1.096 3.143
Hg Tb Cd
2 1 1
Direct
0.000 0.000 0.500
0.000 0.500 0.000
0.500 0.500 0.500
0.500 0.000 0.000
```

=====

[6]
Material: TbCd23Hg6
Method: DFT, PBE
State: relaxed

* total magnetic moment: 0.0000 μB per atom
* DFT formation energy: 0.02 eV/atom
* total energy: -0.90 eV/atom
* space-group type: No. 225

POSCAR file:
```
TbCd23Hg6
1.0
-7.412 -1.535 6.607
0.720 -7.435 6.720
1.411 2.130 9.717
Cd Hg Tb
23 6 1
Direct
0.631 0.123 0.123
0.123 0.631 0.123
0.877 0.877 0.369
0.954 0.349 0.349
0.046 0.651 0.651
0.000 0.000 0.000
0.123 0.123 0.631
0.500 0.500 0.000
0.000 0.000 0.500
0.651 0.046 0.651
0.349 0.349 0.954
0.123 0.123 0.123
0.000 0.500 0.500
0.349 0.954 0.349
0.349 0.349 0.349
0.500 0.000 0.000
0.877 0.369 0.877
0.651 0.651 0.651
0.500 0.000 0.500
0.651 0.651 0.046
0.000 0.500 0.000
0.369 0.877 0.877
0.877 0.877 0.877
0.278 0.722 0.278
0.722 0.278 0.722
0.722 0.278 0.278
0.722 0.722 0.278
0.278 0.722 0.722
0.278 0.278 0.722
0.500 0.500 0.500
```

=====

[7]
Material: Tb4CdHg
Method: DFT, PBE
State: relaxed

* total magnetic moment: 0.0008 μB per atom
* DFT formation energy: -0.01 eV/atom
* total energy: -3.30 eV/atom
* space-group type: No. 166
* energy above the most stable polymorph in this dataset: 243 meV/atom

POSCAR file:
```
Tb4CdHg
1.0
5.133 0.000 0.000
2.566 4.440 0.255
2.566 0.992 8.473
Hg Tb Cd
1 4 1
Direct
0.000 0.000 0.000
0.124 0.124 0.628
0.876 0.876 0.372
0.626 0.626 0.123
0.374 0.374 0.877
0.500 0.500 0.500
```

=====

[8]
Material: Tb4Cd3Hg2
Method: DFT, PBE
State: relaxed

* total magnetic moment: 0.0000 μB per atom
* DFT formation energy: -0.34 eV/atom
* total energy: -2.77 eV/atom
* space-group type: No. 164

POSCAR file:
```
Tb4Cd3Hg2
1.0
-0.697 -1.604 4.895
0.359 -5.056 1.153
9.721 1.086 1.742
Tb Cd Hg
4 3 2
Direct
0.667 0.667 0.119
0.333 0.333 0.881
0.000 0.000 0.329
0.000 0.000 0.671
0.000 0.000 0.000
0.333 0.333 0.522
0.667 0.667 0.478
0.333 0.333 0.195
0.667 0.667 0.805
```

=====

[9]
Material: Tb4Tl2CdHg
Method: DFT, PBE
State: relaxed

* total magnetic moment: 0.1242 μB per atom
* DFT formation energy: -0.38 eV/atom
* total energy: -3.44 eV/atom
* space-group type: No. 166

POSCAR file:
```
Tb4Tl2CdHg
1.0
-3.376 -1.601 3.819
1.801 -2.887 4.119
1.036 5.832 7.098
Tl Tb Cd Hg
2 4 1 1
Direct
0.252 0.252 0.243
0.748 0.748 0.757
0.873 0.873 0.380
0.623 0.623 0.130
0.377 0.377 0.870
0.127 0.127 0.620
0.000 0.000 0.000
0.500 0.500 0.500
```

=====

[10]
Material: Tb4TlCdHg2
Method: DFT, PBE
State: relaxed

* total magnetic moment: 0.1235 μB per atom
* DFT formation energy: -0.40 eV/atom
* total energy: -3.20 eV/atom
* space-group type: No. 166

POSCAR file:
```
Tb4TlCdHg2
1.0
5.311 0.000 0.000
2.656 4.600 0.000
2.656 1.533 8.725
Tb Cd Hg Tl
4 1 2 1
Direct
0.375 0.375 0.874
0.875 0.875 0.375
0.125 0.125 0.625
0.625 0.625 0.126
0.500 0.500 0.500
0.246 0.246 0.262
0.754 0.754 0.738
0.000 0.000 0.000
```

=====

[11]
Material: Tb4TlCd2Hg
Method: DFT, PBE
State: relaxed

* total magnetic moment: 0.1183 μB per atom
* DFT formation energy: -0.37 eV/atom
* total energy: -3.25 eV/atom
* space-group type: No. 166

POSCAR file:
```
Tb4TlCd2Hg
1.0
-3.976 1.963 -2.946
-4.019 -3.158 -1.491
-6.998 1.696 5.765
Hg Tb Cd Tl
1 4 2 1
Direct
0.500 0.500 0.500
0.377 0.377 0.870
0.623 0.623 0.130
0.127 0.127 0.620
0.873 0.873 0.380
0.750 0.750 0.751
0.250 0.250 0.249
0.000 0.000 0.000
```

=====

[12]
Material: Tb2TmCdHg4
Method: DFT, PBE
State: relaxed

* total magnetic moment: 0.0000 μB per atom
* DFT formation energy: -0.44 eV/atom
* total energy: -2.42 eV/atom
* space-group type: No. 166

POSCAR file:
```
Tb2TmCdHg4
1.0
-1.148 -3.561 3.528
-0.293 -4.954 -1.347
7.899 -3.810 2.474
Hg Tb Cd Tm
4 2 1 1
Direct
0.369 0.369 0.894
0.122 0.122 0.635
0.631 0.631 0.106
0.878 0.878 0.365
0.757 0.757 0.729
0.243 0.243 0.271
0.500 0.500 0.500
0.000 0.000 0.000
```

=====

[13]
Material: TbTm2CdHg4
Method: DFT, PBE
State: relaxed

* total magnetic moment: 0.0000 μB per atom
* DFT formation energy: -0.41 eV/atom
* total energy: -2.37 eV/atom
* space-group type: No. 166

POSCAR file:
```
TbTm2CdHg4
1.0
-1.944 -2.046 4.274
2.921 -2.979 2.971
2.844 5.236 6.869
Hg Tb Tm Cd
4 1 2 1
Direct
0.123 0.123 0.631
0.630 0.630 0.111
0.370 0.370 0.889
0.877 0.877 0.369
0.000 0.000 0.000
0.757 0.757 0.730
0.243 0.243 0.270
0.500 0.500 0.500
```

=====

[14]
Material: TbZnCdHg
Method: DFT, PBE
State: relaxed

* total magnetic moment: 0.0000 μB per atom
* DFT formation energy: -0.32 eV/atom
* total energy: -2.10 eV/atom
* space-group type: No. 216

POSCAR file:
```
TbZnCdHg
1.0
4.977 0.000 0.000
2.489 4.310 0.000
2.489 1.437 4.064
Cd Hg Tb Zn
1 1 1 1
Direct
0.750 0.750 0.750
0.500 0.500 0.500
0.250 0.250 0.250
0.000 0.000 0.000
```

=====

[15]
Material: TbZrCdHg
Method: DFT, PBE
State: relaxed

* total magnetic moment: 0.2019 μB per atom
* DFT formation energy: -0.19 eV/atom
* total energy: -3.79 eV/atom
* space-group type: No. 216

POSCAR file:
```
TbZrCdHg
1.0
-1.783 4.210 2.345
-3.008 -0.446 4.141
1.794 1.315 4.632
Hg Tb Zr Cd
1 1 1 1
Direct
0.250 0.250 0.250
0.500 0.500 0.500
0.000 0.000 0.000
0.750 0.750 0.750
```

=====

[16]
Material: CdTcHg2
Method: DFT, PBE
State: relaxed

* total magnetic moment: 0.1817 μB per atom
* DFT formation energy: 0.45 eV/atom
* total energy: -2.52 eV/atom
* space-group type: No. 160

POSCAR file:
```
CdTcHg2
1.0
10.344 0.005 0.003
9.897 3.007 0.003
9.897 1.473 2.622
Tc Hg Cd
1 2 1
Direct
0.499 0.499 0.499
0.241 0.241 0.241
0.002 0.002 0.002
0.758 0.758 0.758
```

=====

[17]
Material: CdTcHg2
Method: DFT, PBE
State: relaxed

* total magnetic moment: 0.0850 μB per atom
* DFT formation energy: 0.46 eV/atom
* total energy: -2.52 eV/atom
* space-group type: No. 44

POSCAR file:
```
CdTcHg2
1.0
-6.488 2.106 -1.806
-6.143 0.181 3.467
6.754 1.598 -1.278
Cd Tc Hg
1 1 2
Direct
0.313 0.813 0.500
0.502 0.502 0.000
0.993 0.993 0.000
0.692 0.192 0.500
```

=====

[18]
Material: CdTcHg2
Method: DFT, PBE
State: relaxed

* total magnetic moment: 0.4475 μB per atom
* DFT formation energy: 0.71 eV/atom
* total energy: -2.27 eV/atom
* space-group type: No. 122

POSCAR file:
```
CdTcHg2
1.0
-1.789 -3.520 1.335
0.772 -1.790 -3.685
8.437 -5.893 2.272
Tc Cd Hg
2 2 4
Direct
0.250 0.750 0.500
0.500 0.500 0.000
0.000 0.000 0.000
0.750 0.250 0.500
0.135 0.625 0.250
0.615 0.125 0.250
0.375 0.385 0.750
0.875 0.865 0.750
```

=====

[19]
Material: CdTcHg2
Method: DFT, PBE
State: relaxed

* total magnetic moment: 0.2992 μB per atom
* DFT formation energy: 0.45 eV/atom
* total energy: -2.52 eV/atom
* space-group type: No. 99

POSCAR file:
```
CdTcHg2
1.0
-2.316 1.848 -0.280
-1.868 -2.270 0.464
0.232 1.669 9.094
Tc Hg Cd
1 2 1
Direct
0.000 0.000 0.503
0.000 0.000 0.996
0.500 0.500 0.282
0.500 0.500 0.720
```

=====

[20]
Material: CdTcHg2
Method: DFT, PBE
State: relaxed

* total magnetic moment: 0.4743 μB per atom
* DFT formation energy: 0.56 eV/atom
* total energy: -2.41 eV/atom
* space-group type: No. 139

POSCAR file:
```
CdTcHg2
1.0
-4.154 -2.924 1.644
1.398 -3.438 3.838
0.748 5.245 -0.663
Tc Cd Hg
1 1 2
Direct
0.750 0.250 0.500
0.250 0.750 0.500
0.000 0.000 0.000
0.500 0.500 0.000
```